Material: Sr2TbNpO6
Method: DFT, PBE-GGA
State: relaxed

Cell lengths 5.9833, 6.1211, 8.5409 Å; angles 90.00, 90.06, 90.00 degrees
Last column: nearest neighbours and their distance in Å.
Atoms (fractional coordinates):
Sr (0.0113, 0.9559, 0.2507)  4 O 2.52-2.64
Sr (0.5113, 0.5441, 0.7507)  4 O 2.52-2.64
Sr (0.9887, 0.0441, 0.7493)  4 O 2.52-2.64
Sr (0.4887, 0.4559, 0.2493)  4 O 2.52-2.64
Tb (0.5000, 0.0000, 0.0000)  6 O 2.29
Tb (0.0000, 0.5000, 0.5000)  6 O 2.29
Np (0.5000, 0.0000, 0.5000)  6 O 2.14-2.17
Np (0.0000, 0.5000, 0.0000)  6 O 2.14-2.17
O (0.2873, 0.6965, 0.0504)  1 Np 2.14, 1 Tb 2.29
O (0.7873, 0.8035, 0.5504)  1 Np 2.14, 1 Tb 2.29
O (0.7127, 0.3035, 0.9496)  1 Np 2.14, 1 Tb 2.29
O (0.2127, 0.1965, 0.4496)  1 Np 2.14, 1 Tb 2.29
O (0.3039, 0.7126, 0.4443)  1 Np 2.17, 1 Tb 2.29
O (0.8039, 0.7874, 0.9443)  1 Np 2.17, 1 Tb 2.29
O (0.6961, 0.2874, 0.5557)  1 Np 2.17, 1 Tb 2.29
O (0.1961, 0.2126, 0.0557)  1 Np 2.17, 1 Tb 2.29
O (0.9007, 0.5378, 0.2420)  1 Np 2.16, 1 Tb 2.29
O (0.4007, 0.9622, 0.7420)  1 Np 2.16, 1 Tb 2.29
O (0.0993, 0.4622, 0.7580)  1 Np 2.16, 1 Tb 2.29
O (0.5993, 0.0378, 0.2580)  1 Np 2.16, 1 Tb 2.29

Calculated values
Crystal system: monoclinic
Total magnetic moment, μB/atom: 0.200
ΔE_f (raw), eV per atom: -3.14

=====

Material: SrNpTc2O8
Method: DFT, PBE-GGA
State: relaxed

Cell lengths 5.9608, 5.9608, 7.1128 Å; angles 90.00, 90.00, 120.00 degrees
Last column: nearest neighbours and their distance in Å.
Atoms (fractional coordinates):
Sr (0.0000, 0.0000, 0.0000)  6 O 2.68
Np (0.0000, 0.0000, 0.5000)  6 O 2.22
Tc (0.6667, 0.3333, 0.2120)  4 O 1.77-1.87
Tc (0.3333, 0.6667, 0.7880)  4 O 1.77-1.87
O (0.3333, 0.6667, 0.0365)  1 Tc 1.77
O (0.3230, 0.1631, 0.2942)  1 Tc 1.87
O (0.8369, 0.1599, 0.2942)  1 Tc 1.87
O (0.6667, 0.3333, 0.9635)  1 Tc 1.77
O (0.1631, 0.8401, 0.7058)  1 Tc 1.87
O (0.6770, 0.8369, 0.7058)  1 Tc 1.87
O (0.1599, 0.3230, 0.7058)  1 Tc 1.87
O (0.8401, 0.6770, 0.2942)  1 Tc 1.87

Calculated values
Crystal system: trigonal
Total magnetic moment, μB/atom: 0.591
ΔE_f (raw), eV per atom: -1.94

=====

Material: SrNpTcO6
Method: DFT, PBE-GGA
State: relaxed

Cell lengths 5.0821, 5.0821, 10.0397 Å; angles 90.00, 90.00, 90.00 degrees
Last column: nearest neighbours and their distance in Å.
Atoms (fractional coordinates):
Sr (0.5000, 0.5000, 0.4964)  6 O 2.38-2.51
Sr (0.0000, 0.0000, 0.9964)  6 O 2.38-2.51
Np (0.5000, 0.5000, 0.8320)  6 O 2.12-2.13
Np (0.0000, 0.0000, 0.3320)  6 O 2.12-2.13
Tc (0.5000, 0.5000, 0.1684)  6 O 2.02-2.03
Tc (0.0000, 0.0000, 0.6684)  6 O 2.02-2.03
O (0.1686, 0.8314, 0.5061)  1 Tc 2.03, 1 Np 2.13
O (0.8314, 0.1686, 0.5061)  1 Tc 2.03, 1 Np 2.13
O (0.3314, 0.3314, 0.0061)  1 Tc 2.03, 1 Np 2.13
O (0.6686, 0.6686, 0.0061)  1 Tc 2.03, 1 Np 2.13
O (0.2197, 0.7803, 0.1910)  1 Tc 2.03, 1 Np 2.12
O (0.7803, 0.2197, 0.1910)  1 Tc 2.03, 1 Np 2.12
O (0.2803, 0.2803, 0.6910)  1 Tc 2.03, 1 Np 2.12
O (0.7197, 0.7197, 0.6910)  1 Tc 2.03, 1 Np 2.12
O (0.7933, 0.2067, 0.8045)  1 Tc 2.02, 1 Np 2.13
O (0.2067, 0.7933, 0.8045)  1 Tc 2.02, 1 Np 2.13
O (0.7067, 0.7067, 0.3045)  1 Tc 2.02, 1 Np 2.13
O (0.2933, 0.2933, 0.3045)  1 Tc 2.02, 1 Np 2.13

Calculated values
Crystal system: tetragonal
Total magnetic moment, μB/atom: 0.448
ΔE_f (raw), eV per atom: -2.30

=====

Material: Sr2NpTe2O2
Method: DFT, PBE-GGA
State: relaxed

Cell lengths 4.4708, 4.4708, 9.4191 Å; angles 103.73, 103.73, 90.00 degrees
Last column: nearest neighbours and their distance in Å.
Atoms (fractional coordinates):
Sr (0.3771, 0.3771, 0.7542)  4 O 3.12, 4 Te 3.29
Sr (0.6229, 0.6229, 0.2458)  4 O 3.12, 4 Te 3.29
Np (0.0000, 0.0000, 0.0000)  4 O 2.24
Te (0.1743, 0.1743, 0.3486)  1 Np 3.09, 4 Sr 3.29
Te (0.8257, 0.8257, 0.6514)  1 Np 3.09, 4 Sr 3.29
O (0.0000, 0.5000, 0.0000)  2 Np 2.24
O (0.5000, 0.0000, 0.0000)  2 Np 2.24

Calculated values
Crystal system: tetragonal
Total magnetic moment, μB/atom: 0.429
ΔE_f (raw), eV per atom: -2.11

=====

Material: SrNpTeO2
Method: DFT, PBE-GGA
State: relaxed

Cell lengths 3.9787, 3.9787, 7.1786 Å; angles 106.09, 106.09, 90.00 degrees
Last column: nearest neighbours and their distance in Å.
Atoms (fractional coordinates):
Sr (0.8497, 0.8497, 0.6993)  4 O 2.48
Np (0.1634, 0.1634, 0.3268)  4 O 2.22
Te (0.5124, 0.5124, 0.0247)  4 Np 3.45, 4 Sr 3.54, 4 O 3.58
O (0.7373, 0.2373, 0.4746)  2 Np 2.22
O (0.2373, 0.7373, 0.4746)  2 Np 2.22

Calculated values
Crystal system: tetragonal
Total magnetic moment, μB/atom: 0.600
ΔE_f (raw), eV per atom: -2.42

=====

Material: SrNpTi2O8
Method: DFT, PBE-GGA
State: relaxed

Cell lengths 5.0611, 5.0622, 7.2963 Å; angles 81.30, 81.31, 78.40 degrees
Last column: nearest neighbours and their distance in Å.
Atoms (fractional coordinates):
Sr (0.0000, 0.0000, 0.5000)  6 O 2.51-2.67
Np (0.0000, 0.0000, 0.0000)  2 O 1.90
Ti (0.4517, 0.4516, 0.7046)  4 O 1.83-2.03
Ti (0.5483, 0.5484, 0.2954)  4 O 1.83-2.03
O (0.2332, 0.7736, 0.2206)  1 Ti 1.87
O (0.7526, 0.7543, 0.0712)  1 Np 1.90, 1 Ti 2.06
O (0.7750, 0.2343, 0.2204)  1 Ti 1.87
O (0.7668, 0.2264, 0.7794)  1 Ti 1.87
O (0.2474, 0.2457, 0.9288)  1 Np 1.90, 1 Ti 2.06
O (0.2250, 0.7657, 0.7796)  1 Ti 1.87
O (0.6609, 0.6623, 0.4916)  2 Ti 1.83-2.03
O (0.3391, 0.3377, 0.5084)  2 Ti 1.83-2.03

Calculated values
Crystal system: triclinic
Total magnetic moment, μB/atom: 0.083
ΔE_f (raw), eV per atom: -2.93

=====

Material: Sr4NpTi3O12
Method: DFT, PBE-GGA
State: relaxed

Cell lengths 7.0179, 7.0179, 7.0179 Å; angles 109.47, 109.47, 109.47 degrees
Last column: nearest neighbours and their distance in Å.
Atoms (fractional coordinates):
Sr (0.5000, 0.5000, 0.5000)  12 O 2.87
Sr (0.0000, 0.0000, 0.5000)  12 O 2.87
Sr (0.5000, 0.0000, 0.0000)  12 O 2.87
Sr (0.0000, 0.5000, 0.0000)  12 O 2.87
Np (0.0000, 0.0000, 0.0000)  6 O 2.11
Ti (0.5000, 0.0000, 0.5000)  6 O 1.94-2.03
Ti (0.5000, 0.5000, 0.0000)  6 O 1.94-2.03
Ti (0.0000, 0.5000, 0.5000)  6 O 1.94-2.03
O (0.2500, 0.5000, 0.7500)  2 Ti 2.03
O (0.7397, 0.0000, 0.7397)  1 Ti 1.94, 1 Np 2.11
O (0.2603, 0.0000, 0.2603)  1 Ti 1.94, 1 Np 2.11
O (0.7500, 0.5000, 0.2500)  2 Ti 2.03
O (0.7397, 0.7397, 0.0000)  1 Ti 1.94, 1 Np 2.11
O (0.2603, 0.2603, 0.0000)  1 Ti 1.94, 1 Np 2.11
O (0.7500, 0.2500, 0.5000)  2 Ti 2.03
O (0.2500, 0.7500, 0.5000)  2 Ti 2.03
O (0.5000, 0.2500, 0.7500)  2 Ti 2.03
O (0.0000, 0.7397, 0.7397)  1 Ti 1.94, 1 Np 2.11
O (0.5000, 0.7500, 0.2500)  2 Ti 2.03
O (0.0000, 0.2603, 0.2603)  1 Ti 1.94, 1 Np 2.11

Calculated values
Crystal system: cubic
Total magnetic moment, μB/atom: 0.151
ΔE_f (raw), eV per atom: -3.04

=====

Material: Sr2NpTlO6
Method: DFT, PBE-GGA
State: relaxed

Cell lengths 4.4504, 6.3093, 6.3093 Å; angles 90.00, 90.00, 90.00 degrees
Last column: nearest neighbours and their distance in Å.
Atoms (fractional coordinates):
Sr (0.0255, 0.5000, 0.0000)  4 O 2.65
Sr (0.0255, 0.0000, 0.5000)  4 O 2.65
Np (0.6740, 0.0000, 0.0000)  6 O 2.01-2.25
Tl (0.5977, 0.5000, 0.5000)  2 O 2.19-2.26
O (0.7100, 0.2244, 0.2244)  1 Np 2.01
O (0.7100, 0.2244, 0.7756)  1 Np 2.01
O (0.1050, 0.5000, 0.5000)  2 Tl 2.19-2.26
O (0.1791, 0.0000, 0.0000)  2 Np 2.20-2.25
O (0.7100, 0.7756, 0.7756)  1 Np 2.01
O (0.7100, 0.7756, 0.2244)  1 Np 2.01

Calculated values
Crystal system: tetragonal
Total magnetic moment, μB/atom: 0.099
ΔE_f (raw), eV per atom: -2.33

=====

Material: Sr2NpTl2O6
Method: DFT, PBE-GGA
State: relaxed

Cell lengths 6.2841, 6.2841, 6.7157 Å; angles 98.39, 98.39, 118.87 degrees
Last column: nearest neighbours and their distance in Å.
Atoms (fractional coordinates):
Sr (0.3361, 0.6639, 0.5000)  6 O 2.53-2.60
Sr (0.6639, 0.3361, 0.5000)  6 O 2.53-2.60
Np (0.0000, 0.0000, 0.5000)  6 O 2.07-2.14
Tl (0.8393, 0.1607, 0.0000)  4 O 2.75-2.86
Tl (0.1607, 0.8393, 0.0000)  4 O 2.75-2.86
O (0.7841, 0.7841, 0.6914)  1 Np 2.14
O (0.0500, 0.3324, 0.6652)  1 Np 2.07
O (0.2159, 0.2159, 0.3086)  1 Np 2.14
O (0.3324, 0.0500, 0.6652)  1 Np 2.07
O (0.9500, 0.6676, 0.3348)  1 Np 2.07
O (0.6676, 0.9500, 0.3348)  1 Np 2.07

Calculated values
Crystal system: monoclinic
Total magnetic moment, μB/atom: 0.091
ΔE_f (raw), eV per atom: -2.30

=====

Material: SrNpTlO6
Method: DFT, PBE-GGA
State: relaxed

Cell lengths 5.6933, 5.6933, 10.7605 Å; angles 90.00, 90.00, 120.00 degrees
Last column: nearest neighbours and their distance in Å.
Atoms (fractional coordinates):
Sr (0.0000, 0.0000, 0.0000)  6 O 2.56
Sr (0.0000, 0.0000, 0.5000)  6 O 2.56
Np (0.6667, 0.3333, 0.2500)  6 O 2.04
Np (0.3333, 0.6667, 0.7500)  6 O 2.04
Tl (0.3333, 0.6667, 0.2500)  6 O 2.30
Tl (0.6667, 0.3333, 0.7500)  6 O 2.30
O (0.6575, 0.6228, 0.1418)  1 Np 2.04
O (0.9654, 0.3425, 0.1418)  1 Np 2.04
O (0.3425, 0.9654, 0.6418)  1 Np 2.04
O (0.0346, 0.6575, 0.8582)  1 Np 2.04
O (0.3772, 0.3425, 0.3582)  1 Np 2.04
O (0.9654, 0.6228, 0.3582)  1 Np 2.04
O (0.6228, 0.9654, 0.8582)  1 Np 2.04
O (0.6575, 0.0346, 0.3582)  1 Np 2.04
O (0.0346, 0.3772, 0.6418)  1 Np 2.04
O (0.3772, 0.0346, 0.1418)  1 Np 2.04
O (0.6228, 0.6575, 0.6418)  1 Np 2.04
O (0.3425, 0.3772, 0.8582)  1 Np 2.04

Calculated values
Crystal system: trigonal
Total magnetic moment, μB/atom: 0.000
ΔE_f (raw), eV per atom: -2.10

=====

Material: Sr2TmNpO6
Method: DFT, PBE-GGA
State: relaxed

Cell lengths 5.9487, 6.0623, 8.4733 Å; angles 90.00, 90.01, 90.00 degrees
Last column: nearest neighbours and their distance in Å.
Atoms (fractional coordinates):
Sr (0.0102, 0.9587, 0.2505)  4 O 2.52-2.65
Sr (0.5102, 0.5413, 0.7505)  4 O 2.52-2.65
Sr (0.9898, 0.0413, 0.7495)  4 O 2.52-2.65
Sr (0.4898, 0.4587, 0.2495)  4 O 2.52-2.65
Tm (0.5000, 0.0000, 0.0000)  6 O 2.23-2.24
Tm (0.0000, 0.5000, 0.5000)  6 O 2.23-2.24
Np (0.5000, 0.0000, 0.5000)  6 O 2.14-2.16
Np (0.0000, 0.5000, 0.0000)  6 O 2.14-2.16
O (0.2883, 0.7016, 0.0478)  1 Np 2.14, 1 Tm 2.24
O (0.7883, 0.7984, 0.5478)  1 Np 2.14, 1 Tm 2.24
O (0.7117, 0.2984, 0.9522)  1 Np 2.14, 1 Tm 2.24
O (0.2117, 0.2016, 0.4522)  1 Np 2.14, 1 Tm 2.24
O (0.2986, 0.7118, 0.4486)  1 Np 2.16, 1 Tm 2.23
O (0.7986, 0.7882, 0.9486)  1 Np 2.16, 1 Tm 2.23
O (0.7014, 0.2882, 0.5514)  1 Np 2.16, 1 Tm 2.23
O (0.2014, 0.2118, 0.0514)  1 Np 2.16, 1 Tm 2.23
O (0.9068, 0.5329, 0.2451)  1 Np 2.16, 1 Tm 2.24
O (0.4068, 0.9671, 0.7451)  1 Np 2.16, 1 Tm 2.24
O (0.0932, 0.4671, 0.7549)  1 Np 2.16, 1 Tm 2.24
O (0.5932, 0.0329, 0.2549)  1 Np 2.16, 1 Tm 2.24

Calculated values
Crystal system: monoclinic
Total magnetic moment, μB/atom: 0.200
ΔE_f (raw), eV per atom: -3.18

=====

Material: Sr2NpUO6
Method: DFT, PBE-GGA
State: relaxed

Cell lengths 6.0390, 6.1761, 8.6150 Å; angles 90.00, 90.01, 90.00 degrees
Last column: nearest neighbours and their distance in Å.
Atoms (fractional coordinates):
Sr (0.0122, 0.9561, 0.2503)  4 O 2.52-2.66
Sr (0.5122, 0.5439, 0.7503)  4 O 2.52-2.66
Sr (0.9878, 0.0439, 0.7497)  4 O 2.52-2.66
Sr (0.4878, 0.4561, 0.2497)  4 O 2.52-2.66
Np (0.5000, 0.0000, 0.0000)  6 O 2.28-2.29
Np (0.0000, 0.5000, 0.5000)  6 O 2.28-2.29
U (0.5000, 0.0000, 0.5000)  6 O 2.20-2.22
U (0.0000, 0.5000, 0.0000)  6 O 2.20-2.22
O (0.2918, 0.7004, 0.0543)  1 U 2.20, 1 Np 2.29
O (0.7918, 0.7996, 0.5543)  1 U 2.20, 1 Np 2.29
O (0.7082, 0.2996, 0.9457)  1 U 2.20, 1 Np 2.29
O (0.2082, 0.2004, 0.4457)  1 U 2.20, 1 Np 2.29
O (0.3001, 0.7087, 0.4430)  1 U 2.22, 1 Np 2.28
O (0.8001, 0.7913, 0.9430)  1 U 2.22, 1 Np 2.28
O (0.6999, 0.2913, 0.5570)  1 U 2.22, 1 Np 2.28
O (0.1999, 0.2087, 0.0570)  1 U 2.22, 1 Np 2.28
O (0.8967, 0.5407, 0.2456)  1 U 2.22, 1 Np 2.29
O (0.3967, 0.9593, 0.7456)  1 U 2.22, 1 Np 2.29
O (0.1033, 0.4593, 0.7544)  1 U 2.22, 1 Np 2.29
O (0.6033, 0.0407, 0.2544)  1 U 2.22, 1 Np 2.29

Calculated values
Crystal system: monoclinic
Total magnetic moment, μB/atom: 0.500
ΔE_f (raw), eV per atom: -3.05